1.
Compound: LuPuUOs
Source: Alexandria
Functional: PBE
Structure: optimized geometry

Values from the calculation:
ΔH_f (0 K) ... 0.08 eV per atom
Fermi-level density of states ... 8.31 states/eV per cell
Theoretical density ... 16.8 Mg/m³

Cell lengths 4.906, 4.906, 4.906 Å; angles 60.00, 60.00, 60.00 degrees
Fractional coordinates of all 4 atoms:
1 Lu 0.000 0.000 0.000
2 Pu 0.750 0.750 0.750
3 U 0.500 0.500 0.500
4 Os 0.250 0.250 0.250

***

2.
Compound: LiTlAgBi
Source: Alexandria
Functional: PBE
Structure: optimized geometry

Values from the calculation:
ΔH_f (0 K) ... -0.13 eV per atom
Fermi-level density of states ... 1.37 states/eV per cell
Theoretical density ... 9.2 Mg/m³

Cell lengths 5.121, 5.121, 5.121 Å; angles 60.00, 60.00, 60.00 degrees
Fractional coordinates of all 4 atoms:
1 Li 0.000 0.000 0.000
2 Tl 0.250 0.250 0.250
3 Ag 0.500 0.500 0.500
4 Bi 0.750 0.750 0.750

***

3.
Compound: DyTeSe
Source: Alexandria
Functional: PBE
Structure: optimized geometry

Values from the calculation:
Raw formation energy ... -1.408 eV/atom
Fermi-level density of states ... 0.68 states/eV per cell
Theoretical density ... 7.3 Mg/m³
Polymorph energy (0 for the lowest one) ... 0 meV per atom

Cell lengths 7.803, 7.803, 7.803 Å; angles 148.65, 136.66, 54.46 degrees
Fractional coordinates of all 6 atoms:
1 Dy 0.155 0.155 0.000
2 Dy 0.845 0.845 0.000
3 Te 0.252 0.500 0.752
4 Te 0.748 0.500 0.248
5 Se 0.288 0.788 0.500
6 Se 0.712 0.212 0.500

***

4.
Compound: K7Be
Source: Alexandria
Functional: PBE
Structure: optimized geometry

Values from the calculation:
ΔH_f (0 K) ... 0.37 eV per atom
Fermi-level density of states ... 5.60 states/eV per cell
Theoretical density ... 0.9 Mg/m³

Cell lengths 8.875, 8.875, 8.875 Å; angles 60.00, 60.00, 60.00 degrees
Fractional coordinates of all 8 atoms:
1 K 0.000 0.000 0.000
2 K 0.000 0.000 0.500
3 K 0.000 0.500 0.000
4 K 0.000 0.500 0.500
5 K 0.500 0.000 0.000
6 K 0.500 0.000 0.500
7 K 0.500 0.500 0.000
8 Be 0.500 0.500 0.500

***

| no. | VASP energy (eV per atom) |
| --- | --- |
| 1 | -10.26 |
| 2 | -2.89 |
| 3 | -5.15 |
| 4 | -1.05 |